# DyEr2Sn3PdPt2 (GGA-PBE, relaxed)
# **Total magnetic moment**: 0.0 μB/f.u.
# **Energy**: -5.83 eV/atom
# **Space-group type**: No. 38
data_DyEr2Sn3PdPt2
_cell_length_a 3.989
_cell_length_b 7.518
_cell_length_c 7.518
_cell_angle_alpha 120.03
_cell_angle_beta 90.00
_cell_angle_gamma 90.00
_space_group_name_H-M_alt 'P 1'
_space_group_IT_number 1
loop_
_space_group_symop_operation_xyz
'x,y,z'
loop_
_atom_site_label
_atom_site_fract_x
_atom_site_fract_y
_atom_site_fract_z
Sn1 0.500 0.258 0.258
Sn2 0.500 0.000 0.742
Sn3 0.500 0.742 0.000
Pt1 0.500 0.333 0.667
Pt2 0.500 0.667 0.333
Pd1 0.000 0.000 0.000
Dy1 0.000 0.592 0.592
Er1 0.000 0.000 0.408
Er2 0.000 0.408 0.000

# Dy3Er4Pd2S2 (GGA-PBE, relaxed)
# **Total magnetic moment**: 0.0 μB/f.u.
# **Energy**: -5.62 eV/atom
# **Space-group type**: No. 44
data_Dy3Er4Pd2S2
_cell_length_a 8.986
_cell_length_b 8.986
_cell_length_c 8.986
_cell_angle_alpha 155.44
_cell_angle_beta 67.41
_cell_angle_gamma 118.33
_space_group_name_H-M_alt 'P 1'
_space_group_IT_number 1
loop_
_space_group_symop_operation_xyz
'x,y,z'
loop_
_atom_site_label
_atom_site_fract_x
_atom_site_fract_y
_atom_site_fract_z
S1 0.763 0.763 0.000
S2 0.352 0.852 0.500
Er1 0.715 0.896 0.819
Er2 0.397 0.266 0.131
Er3 0.136 0.266 0.869
Er4 0.077 0.896 0.181
Pd1 0.335 0.597 0.738
Pd2 0.859 0.597 0.262
Dy1 0.722 0.106 0.616
Dy2 0.010 0.510 0.500
Dy3 0.490 0.106 0.384

# Dy3Er4Pd2Se2 (GGA-PBE, relaxed)
# **Total magnetic moment**: 0.0 μB/f.u.
# **Energy**: -5.47 eV/atom
# **Space-group type**: No. 44
data_Dy3Er4Pd2Se2
_cell_length_a 9.144
_cell_length_b 9.144
_cell_length_c 9.144
_cell_angle_alpha 155.60
_cell_angle_beta 67.28
_cell_angle_gamma 118.40
_space_group_name_H-M_alt 'P 1'
_space_group_IT_number 1
loop_
_space_group_symop_operation_xyz
'x,y,z'
loop_
_atom_site_label
_atom_site_fract_x
_atom_site_fract_y
_atom_site_fract_z
Dy1 0.484 0.106 0.379
Dy2 0.016 0.516 0.500
Dy3 0.727 0.106 0.621
Er1 0.399 0.262 0.137
Er2 0.126 0.262 0.863
Er3 0.079 0.897 0.182
Er4 0.715 0.897 0.818
Pd1 0.858 0.596 0.262
Pd2 0.333 0.596 0.738
Se1 0.761 0.761 0.000
Se2 0.355 0.855 0.500

# DyEr6Pd2Se2 (GGA-PBE, relaxed)
# **Total magnetic moment**: 0.0 μB/f.u.
# **Energy**: -5.46 eV/atom
# **Space-group type**: No. 44
data_DyEr6Pd2Se2
_cell_length_a 9.113
_cell_length_b 9.113
_cell_length_c 9.113
_cell_angle_alpha 155.55
_cell_angle_beta 67.28
_cell_angle_gamma 118.42
_space_group_name_H-M_alt 'P 1'
_space_group_IT_number 1
loop_
_space_group_symop_operation_xyz
'x,y,z'
loop_
_atom_site_label
_atom_site_fract_x
_atom_site_fract_y
_atom_site_fract_z
Er1 0.285 0.103 0.181
Er2 0.516 0.894 0.622
Er3 0.600 0.737 0.863
Er4 0.922 0.103 0.819
Er5 0.273 0.894 0.378
Er6 0.874 0.737 0.137
Pd1 0.666 0.405 0.261
Pd2 0.144 0.405 0.739
Se1 0.242 0.242 0.000
Se2 0.642 0.142 0.500
Dy1 0.984 0.484 0.500

# DyErSi2Pd (GGA-PBE, relaxed)
# **Total magnetic moment**: 0.4 μB/f.u.
# **Energy**: -5.97 eV/atom
# **Space-group type**: No. 12
data_DyErSi2Pd
_cell_length_a 5.631
_cell_length_b 5.631
_cell_length_c 10.074
_cell_angle_alpha 115.70
_cell_angle_beta 115.70
_cell_angle_gamma 44.25
_space_group_name_H-M_alt 'P 1'
_space_group_IT_number 1
loop_
_space_group_symop_operation_xyz
'x,y,z'
loop_
_atom_site_label
_atom_site_fract_x
_atom_site_fract_y
_atom_site_fract_z
Er1 0.002 0.002 0.824
Er2 0.998 0.998 0.176
Si1 0.367 0.367 0.935
Si2 0.481 0.481 0.614
Si3 0.633 0.633 0.065
Si4 0.519 0.519 0.386
Pd1 0.725 0.725 0.860
Pd2 0.275 0.275 0.140
Dy1 0.814 0.814 0.394
Dy2 0.186 0.186 0.606

# Dy2ErSn3Pd3 (GGA-PBE, relaxed)
# **Total magnetic moment**: 0.0 μB/f.u.
# **Energy**: -5.52 eV/atom
# **Space-group type**: No. 38
data_Dy2ErSn3Pd3
_cell_length_a 3.896
_cell_length_b 7.604
_cell_length_c 7.604
_cell_angle_alpha 119.89
_cell_angle_beta 90.00
_cell_angle_gamma 90.00
_space_group_name_H-M_alt 'P 1'
_space_group_IT_number 1
loop_
_space_group_symop_operation_xyz
'x,y,z'
loop_
_atom_site_label
_atom_site_fract_x
_atom_site_fract_y
_atom_site_fract_z
Dy1 0.000 0.403 0.000
Dy2 0.000 0.000 0.403
Pd1 0.500 0.335 0.666
Pd2 0.500 0.666 0.335
Pd3 0.000 0.999 0.999
Sn1 0.500 0.737 0.000
Sn2 0.500 0.000 0.737
Sn3 0.500 0.263 0.263
Er1 0.000 0.597 0.597

# DyErSn2Pd4 (GGA-PBE, relaxed)
# **Total magnetic moment**: 0.0 μB/f.u.
# **Energy**: -5.62 eV/atom
# **Space-group type**: No. 187
data_DyErSn2Pd4
_cell_length_a 4.570
_cell_length_b 4.570
_cell_length_c 8.939
_cell_angle_alpha 90.00
_cell_angle_beta 90.00
_cell_angle_gamma 120.00
_space_group_name_H-M_alt 'P 1'
_space_group_IT_number 1
loop_
_space_group_symop_operation_xyz
'x,y,z'
loop_
_atom_site_label
_atom_site_fract_x
_atom_site_fract_y
_atom_site_fract_z
Pd1 0.667 0.333 0.835
Pd2 0.000 0.000 0.663
Pd3 0.667 0.333 0.165
Pd4 0.000 0.000 0.337
Er1 0.667 0.333 0.500
Dy1 0.000 0.000 0.000
Sn1 0.333 0.667 0.251
Sn2 0.333 0.667 0.749

# Dy3Er4Te2Pd2 (GGA-PBE, relaxed)
# **Total magnetic moment**: 0.0 μB/f.u.
# **Energy**: -5.28 eV/atom
# **Space-group type**: No. 44
data_Dy3Er4Te2Pd2
_cell_length_a 9.414
_cell_length_b 9.414
_cell_length_c 9.414
_cell_angle_alpha 155.89
_cell_angle_beta 66.94
_cell_angle_gamma 118.62
_space_group_name_H-M_alt 'P 1'
_space_group_IT_number 1
loop_
_space_group_symop_operation_xyz
'x,y,z'
loop_
_atom_site_label
_atom_site_fract_x
_atom_site_fract_y
_atom_site_fract_z
Dy1 0.523 0.523 0.000
Dy2 0.235 0.106 0.129
Dy3 0.977 0.106 0.871
Er1 0.903 0.258 0.645
Er2 0.581 0.899 0.682
Er3 0.217 0.899 0.318
Er4 0.614 0.258 0.355
Te1 0.259 0.759 0.500
Te2 0.858 0.858 0.000
Pd1 0.831 0.594 0.237
Pd2 0.357 0.594 0.763

# Dy5Er2Te2Pd2 (GGA-PBE, relaxed)
# **Total magnetic moment**: 0.0 μB/f.u.
# **Energy**: -5.29 eV/atom
# **Space-group type**: No. 44
data_Dy5Er2Te2Pd2
_cell_length_a 9.438
_cell_length_b 9.438
_cell_length_c 9.438
_cell_angle_alpha 155.94
_cell_angle_beta 66.68
_cell_angle_gamma 118.86
_space_group_name_H-M_alt 'P 1'
_space_group_IT_number 1
loop_
_space_group_symop_operation_xyz
'x,y,z'
loop_
_atom_site_label
_atom_site_fract_x
_atom_site_fract_y
_atom_site_fract_z
Dy1 0.477 0.106 0.372
Dy2 0.734 0.106 0.628
Dy3 0.115 0.259 0.856
Dy4 0.023 0.523 0.500
Dy5 0.403 0.259 0.144
Te1 0.359 0.859 0.500
Te2 0.758 0.758 0.000
Pd1 0.855 0.593 0.262
Pd2 0.331 0.593 0.738
Er1 0.717 0.899 0.818
Er2 0.081 0.899 0.182

# Dy5Er2Te2Pd2 (GGA-PBE, relaxed)
# **Total magnetic moment**: 0.0 μB/f.u.
# **Energy**: -5.28 eV/atom
# **Space-group type**: No. 44
data_Dy5Er2Te2Pd2
_cell_length_a 9.440
_cell_length_b 9.440
_cell_length_c 9.440
_cell_angle_alpha 155.91
_cell_angle_beta 66.76
_cell_angle_gamma 118.80
_space_group_name_H-M_alt 'P 1'
_space_group_IT_number 1
loop_
_space_group_symop_operation_xyz
'x,y,z'
loop_
_atom_site_label
_atom_site_fract_x
_atom_site_fract_y
_atom_site_fract_z
Dy1 0.903 0.259 0.644
Dy2 0.615 0.259 0.356
Dy3 0.522 0.522 0.000
Dy4 0.217 0.898 0.318
Dy5 0.580 0.898 0.682
Er1 0.235 0.106 0.129
Er2 0.977 0.106 0.871
Pd1 0.833 0.594 0.239
Pd2 0.355 0.594 0.761
Te1 0.256 0.756 0.500
Te2 0.861 0.861 0.000

# Dy3Er4Te2Pd2 (GGA-PBE, relaxed)
# **Total magnetic moment**: 0.0 μB/f.u.
# **Energy**: -5.28 eV/atom
# **Space-group type**: No. 44
data_Dy3Er4Te2Pd2
_cell_length_a 9.409
_cell_length_b 9.409
_cell_length_c 9.409
_cell_angle_alpha 155.85
_cell_angle_beta 66.83
_cell_angle_gamma 118.75
_space_group_name_H-M_alt 'P 1'
_space_group_IT_number 1
loop_
_space_group_symop_operation_xyz
'x,y,z'
loop_
_atom_site_label
_atom_site_fract_x
_atom_site_fract_y
_atom_site_fract_z
Dy1 0.615 0.259 0.355
Dy2 0.904 0.259 0.645
Dy3 0.522 0.522 0.000
Te1 0.257 0.757 0.500
Te2 0.860 0.860 0.000
Pd1 0.354 0.593 0.761
Pd2 0.831 0.593 0.239
Er1 0.977 0.106 0.871
Er2 0.236 0.106 0.129
Er3 0.581 0.899 0.682
Er4 0.217 0.899 0.318